Mn4Se2O: relaxed, PBE+U.

Unit cell a=5.6289 b=5.6289 c=32.3519 alpha=90.00 beta=90.00 gamma=90.00
Space group I4_1/acd (No. 142, origin choice 2)
Asymmetric unit:
Mn 0.0000 0.2500 0.2876 (multiplicity 16)
Mn 0.1782 0.0718 0.1250 (multiplicity 16)
Se 0.0000 0.2500 0.0461 (multiplicity 16)
O 0.0000 0.2500 0.3750 (multiplicity 8)

## Properties
- crystal system = tetragonal
- raw total energy (eV/atom) = -6.429
- magnetic moment (Bohr magnetons per cell) = 148.1
- DOS(E_F) (states/eV per cell) = 23.123